Entry 1:
# MnAgNClF

A geometry-optimized MnAgNClF structure (GGA+U, the Alexandria database).

Cell lengths 11.679, 5.351, 3.084 Å; angles 90.00, 93.94, 90.00 degrees
Space group Cm (No. 8)
Symmetry-distinct sites (fractional):
Mn1 0.000 0.000 0.000 [2 per cell]
Ag1 0.281 0.000 0.648 [2 per cell]
N1 0.105 0.000 0.531 [2 per cell]
Cl1 0.476 0.000 0.974 [2 per cell]
F1 0.384 0.500 0.470 [2 per cell]

Results
* DFT total energy: -49.55 eV per cell
* volume: 192 Å³ per cell
* distance to the lowest polymorph of the same formula: 0 meV/atom

=====

Entry 2:
# Rb4Tb3MnO8

A geometry-optimized Rb4Tb3MnO8 structure (GGA+U, the Alexandria database).

Cell lengths 12.264, 6.808, 7.628 Å; angles 90.00, 120.74, 90.00 degrees
Space group C2/m (No. 12)
Symmetry-distinct sites (fractional):
Rb1 0.000 0.000 0.000 [2 per cell]
Rb2 0.000 0.500 0.000 [2 per cell]
Rb3 0.250 0.250 0.000 [4 per cell]
Tb1 0.000 0.000 0.500 [2 per cell]
Tb2 0.250 0.250 0.500 [4 per cell]
Mn1 0.000 0.500 0.500 [2 per cell]
O1 0.024 0.278 0.340 [8 per cell]
O2 0.220 0.000 0.676 [4 per cell]
O3 0.248 0.000 0.300 [4 per cell]

Results
* DFT total energy: -204.36 eV per cell
* volume: 547 Å³ per cell

=====

What is the formula in the first record? MnAgNClF